Computed, not measured: AgBi2Te2 after structural relaxation at the GGA-PBEsol level of DFT.

N(E_F) ... 4.5 states/eV/cell
Energy relative to the elements, uncorrected ... 0.13 eV/atom
Space-group type ... No. 127
Total magnetization ... 0.0 μB/f.u.

Structure (CIF):
```
data_AgBi2Te2
_chemical_formula_sum 'Ag2 Bi4 Te4'
_cell_length_a 8.244
_cell_length_b 8.244
_cell_length_c 4.306
_cell_angle_alpha 90.00
_cell_angle_beta 90.00
_cell_angle_gamma 90.00
_symmetry_space_group_name_H-M 'P 1'
_symmetry_Int_Tables_number 1
loop_
_symmetry_equiv_pos_as_xyz
'x,y,z'
loop_
_atom_site_label
_atom_site_type_symbol
_atom_site_fract_x
_atom_site_fract_y
_atom_site_fract_z
_atom_site_occupancy
Ag1 Ag 0.000 0.000 0.000 1
Ag2 Ag 0.500 0.500 0.000 1
Bi1 Bi 0.169 0.331 0.000 1
Bi2 Bi 0.331 0.831 0.000 1
Bi3 Bi 0.669 0.169 0.000 1
Bi4 Bi 0.831 0.669 0.000 1
Te1 Te 0.150 0.650 0.500 1
Te2 Te 0.350 0.150 0.500 1
Te3 Te 0.650 0.850 0.500 1
Te4 Te 0.850 0.350 0.500 1
```